[1]
## CsNdPa (PBE)

Data for a relaxed CsNdPa crystal.

Lattice parameters (Å, degrees): 7.6086 7.6086 7.6086 90.00 90.00 90.00
With the nearest neighbours (Å) after each atom.
Space group F-43m (No. 216)
Unique sites:
Cs  0.0000  0.0000  0.0000 [4 per cell]  4 Pa 3.29, 4 Nd 3.29
Nd  0.2500  0.2500  0.7500 [4 per cell]  4 Cs 3.29
Pa  0.2500  0.2500  0.2500 [4 per cell]  4 Cs 3.29

Output
For the total energy, the calculation gives -3.23 eV/atom. The value obtained for the energy relative to the lowest polymorph listed for this composition is 0.024 eV/atom. The size of the total moment is 5.72 μB/cell.


[2]
## NbGaB4 (PBE)

Data for a relaxed NbGaB4 crystal.

Lattice parameters (Å, degrees): 3.0263 5.1867 7.2256 90.00 90.00 90.00
With the nearest neighbours (Å) after each atom.
Space group Immm (No. 71)
Unique sites:
Nb  0.0000  0.0000  0.0000 [2 per cell]  12 B 2.50-2.52
Ga  0.0000  0.0000  0.5000 [2 per cell]  12 B 2.50-2.52
B  0.0000  0.3349  0.2480 [8 per cell]  3 B 1.71-1.75

Output
For the total energy, the calculation gives -6.75 eV/atom. The value obtained for the energy relative to the lowest polymorph listed for this composition is 0.079 eV/atom. The size of the total moment is 0.00 μB/cell.


[3]
## OsBr2 (PBE)

Data for a relaxed OsBr2 crystal.

Lattice parameters (Å, degrees): 11.0563 11.0563 11.0563 90.00 90.00 90.00
With the nearest neighbours (Å) after each atom.
Space group Fd-3m (No. 227, origin choice 2)
Unique sites:
Os  0.1250  0.1250  0.1250 [8 per cell]  4 Br 2.39
Br  0.0000  0.0000  0.0000 [16 per cell]  2 Os 2.39

Output
For the total energy, the calculation gives -3.93 eV/atom. The value obtained for the energy relative to the lowest polymorph listed for this composition is 0.416 eV/atom. The size of the total moment is 7.94 μB/cell.


[4]
## NdZnInSe3 (PBE)

Data for a relaxed NdZnInSe3 crystal.

Lattice parameters (Å, degrees): 17.8706 4.1676 9.1428 90.00 115.31 90.00
With the nearest neighbours (Å) after each atom.
Space group C2/m (No. 12)
Unique sites:
Nd  0.1982  0.0000  0.1685 [4 per cell]  6 Se 2.95-3.20
Zn  0.0018  0.5000  0.1921 [4 per cell]  4 Se 2.50-2.72
In  0.1296  0.0000  0.5939 [4 per cell]  4 Se 2.96-3.20
Se  0.0000  0.0000  0.0000 [2 per cell]  4 Zn 2.72
Se  0.0000  0.5000  0.5000 [2 per cell]  2 Zn 2.83, 4 In 2.96
Se  0.1553  0.5000  0.3537 [4 per cell]  1 Zn 2.50
Se  0.1546  0.5000  0.9165 [4 per cell]  1 Zn 2.53

Output
For the total energy, the calculation gives -4.14 eV/atom. The value obtained for the energy relative to the lowest polymorph listed for this composition is 0.125 eV/atom. The size of the total moment is 0.01 μB/cell.